Record 1
Tl16InSn12 after structural relaxation. Source: Alexandria, functional PBE.

Values from the calculation:
formation energy: 0.00 eV/atom

Cell lengths 10.502, 10.502, 10.413 Å; angles 109.40, 109.40, 109.85 degrees
Fractional positions:
1 Tl 0.000 0.000 0.000
2 Tl 0.000 0.683 0.397
3 Tl 0.001 0.001 0.643
4 Tl 0.001 0.399 0.684
5 Tl 0.287 0.604 0.602
6 Tl 0.316 0.713 0.314
7 Tl 0.318 0.318 0.713
8 Tl 0.360 0.360 0.357
9 Tl 0.399 0.001 0.684
10 Tl 0.400 0.684 0.001
11 Tl 0.604 0.287 0.602
12 Tl 0.644 0.999 0.999
13 Tl 0.683 0.000 0.397
14 Tl 0.684 0.400 0.001
15 Tl 0.713 0.316 0.314
16 Tl 0.999 0.644 0.999
17 In 0.605 0.605 0.290
18 Sn 0.000 0.184 0.363
19 Sn 0.001 0.364 0.186
20 Sn 0.178 0.815 0.813
21 Sn 0.184 0.000 0.363
22 Sn 0.188 0.365 0.001
23 Sn 0.364 0.001 0.186
24 Sn 0.365 0.188 0.001
25 Sn 0.636 0.820 0.631
26 Sn 0.637 0.637 0.821
27 Sn 0.810 0.810 0.182
28 Sn 0.815 0.178 0.813
29 Sn 0.820 0.636 0.631

=====

Record 2
La2NdEr8 after structural relaxation. Source: Alexandria, functional PBE.

Values from the calculation:
excess energy over the best structure of this formula in the dataset: 0 meV/atom
formation energy: 0.03 eV/atom

Cell lengths 9.438, 9.438, 7.978 Å; angles 104.72, 104.72, 31.11 degrees
Fractional positions:
1 La 0.228 0.228 0.137
2 La 0.772 0.772 0.863
3 Nd 0.500 0.500 0.500
4 Er 0.044 0.044 0.226
5 Er 0.135 0.135 0.676
6 Er 0.319 0.319 0.594
7 Er 0.411 0.411 0.045
8 Er 0.589 0.589 0.955
9 Er 0.681 0.681 0.406
10 Er 0.865 0.865 0.324
11 Er 0.956 0.956 0.774

=====

Record 3
AcNdAgPd after structural relaxation. Source: Alexandria, functional PBE.

Values from the calculation:
excess energy over the best structure of this formula in the dataset: 47 meV/atom
formation energy: -0.45 eV/atom

Cell lengths 5.362, 5.362, 5.362 Å; angles 60.00, 60.00, 60.00 degrees
Fractional positions:
1 Ac 0.000 0.000 0.000
2 Nd 0.500 0.500 0.500
3 Ag 0.750 0.750 0.750
4 Pd 0.250 0.250 0.250

=====

Record 4
HfH2N after structural relaxation. Source: Alexandria, functional PBE.

Values from the calculation:
excess energy over the best structure of this formula in the dataset: 0 meV/atom

Cell lengths 8.608, 8.608, 8.608 Å; angles 159.59, 159.59, 29.02 degrees
Fractional positions:
1 Hf 0.375 0.625 0.750
2 Hf 0.625 0.375 0.250
3 H 0.000 0.500 0.500
4 H 0.500 0.000 0.000
5 H 0.500 0.500 0.000
6 H 0.500 0.500 0.500
7 N 0.125 0.875 0.250
8 N 0.875 0.125 0.750

=====

Record 5
BaSr14Ac after structural relaxation. Source: Alexandria, functional PBE.

Values from the calculation:
formation energy: 0.03 eV/atom

Cell lengths 12.009, 8.492, 8.492 Å; angles 89.97, 90.00, 90.00 degrees
Fractional positions:
1 Ba 0.000 0.000 0.000
2 Sr 0.000 0.000 0.500
3 Sr 0.000 0.500 0.000
4 Sr 0.250 0.254 0.254
5 Sr 0.250 0.254 0.747
6 Sr 0.250 0.747 0.254
7 Sr 0.250 0.747 0.747
8 Sr 0.500 0.000 0.000
9 Sr 0.500 0.001 0.500
10 Sr 0.500 0.500 0.001
11 Sr 0.500 0.501 0.501
12 Sr 0.750 0.254 0.254
13 Sr 0.750 0.254 0.747
14 Sr 0.750 0.747 0.254
15 Sr 0.750 0.747 0.747
16 Ac 0.000 0.501 0.501

=====

Record 6
BaSrIO6 after structural relaxation. Source: Alexandria, functional PBE.

Values from the calculation:
raw formation energy: -1.47 eV per atom

Cell lengths 5.986, 5.986, 5.393 Å; angles 90.00, 90.00, 120.00 degrees
Fractional positions:
1 Ba 0.000 0.000 0.000
2 Sr 0.333 0.667 0.500
3 I 0.667 0.333 0.500
4 O 0.404 0.073 0.701
5 O 0.404 0.332 0.299
6 O 0.668 0.073 0.299
7 O 0.668 0.596 0.701
8 O 0.927 0.332 0.701
9 O 0.927 0.596 0.299

=====

Record 7
LiPmSnGe after structural relaxation. Source: Alexandria, functional PBE.

Values from the calculation:
excess energy over the best structure of this formula in the dataset: 0 meV/atom
formation energy: -0.55 eV/atom

Cell lengths 4.380, 4.381, 4.717 Å; angles 90.00, 90.00, 90.00 degrees
Fractional positions:
1 Li 0.000 0.000 0.000
2 Pm 0.500 0.000 0.500
3 Sn 0.500 0.500 0.000
4 Ge 0.000 0.500 0.500

=====

Record 8
Ge4Ir2Ru after structural relaxation. Source: Alexandria, functional PBE.

Values from the calculation:
excess energy over the best structure of this formula in the dataset: 0 meV/atom
formation energy: -0.24 eV/atom

Cell lengths 6.612, 6.612, 6.567 Å; angles 114.36, 114.36, 28.06 degrees
Fractional positions:
1 Ge 0.097 0.097 0.313
2 Ge 0.348 0.348 0.138
3 Ge 0.652 0.652 0.862
4 Ge 0.903 0.903 0.687
5 Ir 0.242 0.242 0.696
6 Ir 0.758 0.758 0.304
7 Ru 0.500 0.500 0.000

=====

Number 1: DOS at the Fermi energy 11.44 states/eV/f.u., calculated volume 30.4 Å³/atom. Number 2: DOS at the Fermi energy 17.30 states/eV/f.u., calculated volume 32.2 Å³/atom. Number 3: DOS at the Fermi energy 3.82 states/eV/f.u., calculated volume 27.2 Å³/atom. Number 4: DOS at the Fermi energy 0.46 states/eV/f.u., calculated volume 9.7 Å³/atom. Number 5: DOS at the Fermi energy 20.24 states/eV/f.u., calculated volume 54.1 Å³/atom. Number 6: DOS at the Fermi energy 8.15 states/eV/f.u., calculated volume 18.6 Å³/atom. Number 7: DOS at the Fermi energy 1.37 states/eV/f.u., calculated volume 22.6 Å³/atom. Number 8: DOS at the Fermi energy 3.48 states/eV/f.u., calculated volume 17.5 Å³/atom.